Entry 1:
Below is crystalline AcMgTePb at its relaxed geometry, with properties calculated at the PBE level.

Cell: 4.8417 4.8417 10.6819 Å, 90.00 90.00 90.00°
Element x y z (fractional)
Ac: 0.2500 0.2500 0.2237
Ac: 0.7500 0.7500 0.7763
Mg: 0.2500 0.7500 0.5000
Mg: 0.7500 0.2500 0.5000
Te: 0.2500 0.7500 0.0000
Te: 0.7500 0.2500 0.0000
Pb: 0.2500 0.2500 0.6740
Pb: 0.7500 0.7500 0.3260

## Properties
**Total energy**: -30.4 eV/cell
**Crystal system**: tetragonal
**Formation energy (no corrections)**: -0.664 eV per atom

---

Entry 2:
Below is crystalline KTcBr6 at its relaxed geometry, with properties calculated at the PBE level.

Cell: 6.7495 6.7495 6.5013 Å, 99.76 99.76 101.68°
Element x y z (fractional)
K: 0.0000 0.0000 0.0000
Tc: 0.5000 0.5000 0.5000
Br: 0.1503 0.4921 0.2852
Br: 0.3329 0.3329 0.7592
Br: 0.4921 0.1503 0.2852
Br: 0.5079 0.8497 0.7148
Br: 0.6671 0.6671 0.2408
Br: 0.8497 0.5079 0.7148

## Properties
**Offset from the most stable computed form**: 7 meV/atom
**Total energy**: -26.5 eV/cell
**Crystal system**: monoclinic
**Formation energy (no corrections)**: -0.626 eV per atom

---

Entry 3:
Below is crystalline Cs2SbBr4F2 at its relaxed geometry, with properties calculated at the PBE level.

Cell: 7.4260 7.4260 6.5796 Å, 103.64 103.64 62.15°
Element x y z (fractional)
Cs: 0.1853 0.1853 0.3257
Cs: 0.8147 0.8147 0.6743
Sb: 0.5000 0.5000 0.0000
Br: 0.1549 0.6703 0.1869
Br: 0.3297 0.8451 0.8131
Br: 0.6703 0.1549 0.1869
Br: 0.8451 0.3297 0.8131
F: 0.3607 0.3607 0.7462
F: 0.6393 0.6393 0.2538

## Properties
**Total energy**: -30.6 eV/cell
**Crystal system**: monoclinic
**Formation energy (no corrections)**: -1.588 eV per atom

---

Q: Number 2 is which compound?
A: KTcBr6